# 1
BaH6Se2 after structural relaxation. Source: Alexandria via LeMat-Bulk, functional PBE.

Unit cell a=5.745 b=5.733 c=5.733 alpha=60.76 beta=59.93 gamma=59.93
Element x y z (fractional)
H (0.398, 0.319, 0.884)
H (0.500, 0.686, 0.314)
H (0.500, 0.314, 0.686)
Se (0.758, 0.742, 0.742)
Se (0.242, 0.258, 0.258)
H (0.602, 0.116, 0.681)
H (0.398, 0.884, 0.319)
H (0.602, 0.681, 0.116)
Ba (0.000, 0.000, 0.000)

Computed properties:
Fermi-level density of states: 0.000 states/eV per cell
Theoretical density: 3.7 g cm⁻³
Calculated total energy: -3.41 eV per atom



# 2
CoPdPt5 after structural relaxation. Source: Alexandria via LeMat-Bulk, functional PBE.

Unit cell a=7.156 b=6.873 c=5.572 alpha=128.08 beta=129.96 gamma=90.00
Each line ends with the local moment (μB).
Element x y z (fractional)
Pd (0.683, 0.500, 0.000)  0.17
Pt (0.605, 0.758, 0.516)  0.14
Pt (0.030, 0.500, 0.000)  0.10
Co (0.168, 0.000, 0.000)  2.15
Pt (0.477, 0.816, 0.000)  0.23
Pt (0.090, 0.242, 0.484)  0.14
Pt (0.477, 0.184, 0.000)  0.23

Computed properties:
Fermi-level density of states: 12.870 states/eV per cell
Formation enthalpy at 0 K: 0.502 eV/atom
Theoretical density: 15.2 g cm⁻³
Energy above the lowest structure with this stoichiometry: 0.414 eV per atom



# 3
NaPt2 after structural relaxation. Source: Alexandria via LeMat-Bulk, functional PBE.

Unit cell a=7.045 b=7.045 c=7.045 alpha=157.45 beta=157.45 gamma=32.10
Element x y z (fractional)
Pt (0.325, 0.325, 0.000)
Pt (0.675, 0.675, 0.000)
Na (0.000, 0.000, 0.000)

Computed properties:
Fermi-level density of states: 3.716 states/eV per cell
Formation enthalpy at 0 K: -0.048 eV/atom
Theoretical density: 13.4 g cm⁻³
Energy above the lowest structure with this stoichiometry: 0.339 eV per atom



# 4
GdDyEr after structural relaxation. Source: Alexandria via LeMat-Bulk, functional PBE.

Unit cell a=3.546 b=3.546 c=8.665 alpha=90.00 beta=90.00 gamma=120.00
Each line ends with the local moment (μB).
Element x y z (fractional)
Er (0.333, 0.667, 0.669)  -0.06
Gd (0.667, 0.333, 0.334)  7.19
Dy (0.000, 0.000, 0.997)  -0.07

Computed properties:
Fermi-level density of states: 4.458 states/eV per cell
Formation enthalpy at 0 K: 0.023 eV/atom
Theoretical density: 8.6 g cm⁻³



# 5
Ho3Er9Tm2 after structural relaxation. Source: Alexandria via LeMat-Bulk, functional PBE.

Unit cell a=6.046 b=11.424 c=11.438 alpha=45.82 beta=63.44 gamma=50.53
Element x y z (fractional)
Er (0.827, 0.332, 0.385)
Er (0.701, 0.703, 0.951)
Ho (0.884, 0.117, 0.249)
Er (0.496, 0.088, 0.568)
Er (0.000, 0.500, 0.500)
Ho (0.000, 0.000, 0.000)
Er (0.262, 0.526, 0.156)
Er (0.504, 0.912, 0.432)
Er (0.738, 0.474, 0.844)
Tm (0.535, 0.814, 0.199)
Ho (0.116, 0.883, 0.751)
Tm (0.465, 0.186, 0.801)
Er (0.173, 0.668, 0.615)
Er (0.299, 0.297, 0.049)

Computed properties:
Fermi-level density of states: 22.038 states/eV per cell
Formation enthalpy at 0 K: 0.152 eV/atom
Theoretical density: 8.9 g cm⁻³



# 6
Er2Pt3Rh after structural relaxation. Source: Alexandria via LeMat-Bulk, functional PBE.

Unit cell a=7.606 b=8.573 c=7.006 alpha=127.72 beta=122.88 gamma=90.00
Element x y z (fractional)
Er (0.881, 0.180, 0.360)
Pt (0.826, 0.076, 0.652)
Pt (0.826, 0.576, 0.652)
Er (0.479, 0.680, 0.360)
Rh (0.000, 0.500, 0.000)
Rh (0.000, 0.000, 0.000)
Pt (0.500, 0.250, 0.000)
Pt (0.174, 0.424, 0.348)
Pt (0.500, 0.750, 0.000)
Pt (0.174, 0.924, 0.348)
Er (0.521, 0.320, 0.640)
Er (0.119, 0.820, 0.640)

Computed properties:
Fermi-level density of states: 4.086 states/eV per cell
Formation enthalpy at 0 K: -0.727 eV/atom
Theoretical density: 12.9 g cm⁻³



# 7
CrSbPdAu after structural relaxation. Source: Alexandria via LeMat-Bulk, functional PBE.

Unit cell a=4.693 b=4.693 c=4.693 alpha=60.00 beta=60.00 gamma=60.00
Each line ends with the local moment (μB).
Element x y z (fractional)
Pd (0.500, 0.500, 0.500)  0.03
Sb (0.250, 0.250, 0.250)  -0.02
Cr (0.750, 0.750, 0.750)  3.69
Au (0.000, 0.000, 0.000)  0.05

Computed properties:
Fermi-level density of states: 2.186 states/eV per cell
Theoretical density: 10.8 g cm⁻³
Formation energy without anion corrections: 0.00 eV/atom



# 8
ZnGeC3 after structural relaxation. Source: Alexandria via LeMat-Bulk, functional PBE.

Unit cell a=3.975 b=3.975 c=3.975 alpha=90.00 beta=90.00 gamma=90.00
Element x y z (fractional)
Zn (0.500, 0.500, 0.500)
C (0.000, 0.000, 0.500)
C (0.500, 0.000, 0.000)
Ge (0.000, 0.000, 0.000)
C (0.000, 0.500, 0.000)

Computed properties:
Fermi-level density of states: 3.054 states/eV per cell
Formation enthalpy at 0 K: 2.637 eV/atom
Theoretical density: 4.6 g cm⁻³
Energy above the lowest structure with this stoichiometry: 0.000 eV per atom



Short version: size of the total moment = 0.0; 3.2; 0.0; 7.3; 0.0; 0.0; 4.1; 0.0 μB per cell, in the order given.